The following is a DFT calculation (GGA-PBE) of a relaxed structure of BeGeTe.

Values from the calculation:
The calculation puts the density of states at the Fermi level at 0.1 states/eV/f.u. The volume comes out at 25.0 A^3/atom. Its distance to the lowest polymorph of the same formula is 0.15 eV/f.u. The space-group type is No. 1.

Geometry as POSCAR:
```
BeGeTe
1.0
3.989 0.000 0.000
0.943 5.188 0.000
1.142 2.062 7.240
Be Ge Te
2 2 2
Direct
0.000 0.000 0.000
0.220 0.481 0.000
0.477 0.430 0.359
0.550 0.773 0.039
0.067 0.090 0.301
0.816 0.449 0.794
```